An optimized crystal structure of AgHgIr2. Source: Alexandria via LeMat-Bulk, functional PBE.

Unit cell a=4.850 b=4.850 c=4.850 alpha=129.14 beta=129.14 gamma=74.78
Fractional positions:
1 Ag 0.000 0.000 0.000
2 Hg 0.250 0.750 0.500
3 Ir 0.500 0.500 0.000
4 Ir 0.750 0.250 0.500

Properties
Energy   -4.646 eV/atom
SG   I-4m2, No. 119
ΔH_f (0 K)   0.57 eV per atom

***

An optimized crystal structure of DyNi3B. Source: Alexandria via LeMat-Bulk, functional PBE.

Unit cell a=5.621 b=5.621 c=9.335 alpha=90.00 beta=90.00 gamma=120.00
Fractional positions:
1 Dy 0.000 0.000 0.000
2 Dy 0.000 0.000 0.500
3 Dy 0.333 0.667 0.250
4 Dy 0.667 0.333 0.750
5 Ni 0.000 0.500 0.000
6 Ni 0.000 0.500 0.500
7 Ni 0.155 0.310 0.750
8 Ni 0.155 0.845 0.750
9 Ni 0.310 0.155 0.250
10 Ni 0.500 0.000 0.000
11 Ni 0.500 0.000 0.500
12 Ni 0.500 0.500 0.000
13 Ni 0.500 0.500 0.500
14 Ni 0.690 0.845 0.750
15 Ni 0.845 0.155 0.250
16 Ni 0.845 0.690 0.250
17 B 0.333 0.667 0.641
18 B 0.333 0.667 0.859
19 B 0.667 0.333 0.141
20 B 0.667 0.333 0.359

Properties
Energy relative to the lowest polymorph listed for this composition   0.087 eV per formula unit
Energy   -6.106 eV/atom
SG   P6_3/mmc, No. 194
ΔH_f (0 K)   -0.38 eV per atom

***

An optimized crystal structure of Tb4Bi2TeAs. Source: Alexandria via LeMat-Bulk, functional PBE.

Unit cell a=7.581 b=4.362 c=7.583 alpha=90.00 beta=109.24 gamma=90.00
Fractional positions:
1 Tb 0.233 0.000 0.232
2 Tb 0.242 0.500 0.761
3 Tb 0.758 0.500 0.239
4 Tb 0.767 0.000 0.768
5 Bi 0.500 0.000 0.000
6 Bi 0.500 0.500 0.500
7 Te 0.000 0.000 0.500
8 As 0.000 0.500 0.000

Properties
Energy   -5.420 eV/atom
SG   P2/m, No. 10

***

An optimized crystal structure of NdSm4Dy. Source: Alexandria via LeMat-Bulk, functional PBE.

Unit cell a=6.668 b=6.668 c=6.668 alpha=60.00 beta=60.00 gamma=60.00
Fractional positions:
1 Nd 0.000 0.000 0.000
2 Sm 0.127 0.624 0.624
3 Sm 0.624 0.127 0.624
4 Sm 0.624 0.624 0.127
5 Sm 0.624 0.624 0.624
6 Dy 0.250 0.250 0.250

Properties
Energy relative to the lowest polymorph listed for this composition   0.913 eV per formula unit
Energy   -4.447 eV/atom
SG   F-43m, No. 216
ΔH_f (0 K)   0.26 eV per atom

***

An optimized crystal structure of ZrCrPt2. Source: Alexandria via LeMat-Bulk, functional PBE.

Unit cell a=2.935 b=3.857 c=5.909 alpha=90.00 beta=90.00 gamma=90.00
Fractional positions:
1 Zr 0.000 0.000 0.000
2 Cr 0.000 0.000 0.500
3 Pt 0.500 0.500 0.263
4 Pt 0.500 0.500 0.737

Properties
Energy   -8.116 eV/atom
SG   Pmmm, No. 47
ΔH_f (0 K)   -0.55 eV per atom

***

An optimized crystal structure of Zr2U3PaP6. Source: Alexandria via LeMat-Bulk, functional PBE.

Unit cell a=6.690 b=6.690 c=6.761 alpha=99.51 beta=99.51 gamma=120.08
Fractional positions:
1 Zr 0.168 0.832 0.000
2 Zr 0.832 0.168 0.000
3 U 0.000 0.000 0.500
4 U 0.335 0.665 0.500
5 U 0.665 0.335 0.500
6 Pa 0.500 0.500 0.000
7 P 0.078 0.418 0.756
8 P 0.239 0.239 0.241
9 P 0.418 0.078 0.756
10 P 0.582 0.922 0.244
11 P 0.761 0.761 0.759
12 P 0.922 0.582 0.244

Properties
Energy   -8.932 eV/atom
SG   C2/m, No. 12
ΔH_f (0 K)   -1.19 eV per atom

***

An optimized crystal structure of Tl2RhCl5. Source: Alexandria via LeMat-Bulk, functional PBE.

Unit cell a=6.835 b=6.835 c=6.835 alpha=115.22 beta=115.22 gamma=98.51
Fractional positions:
1 Tl 0.000 0.500 0.500
2 Tl 0.500 0.000 0.500
3 Rh 0.241 0.241 0.000
4 Cl 0.029 0.029 0.548
5 Cl 0.029 0.481 0.000
6 Cl 0.481 0.029 0.000
7 Cl 0.481 0.481 0.452
8 Cl 0.990 0.990 0.000

Properties
Energy relative to the lowest polymorph listed for this composition   0.109 eV per formula unit
Energy   -3.413 eV/atom
SG   I4mm, No. 107

***

An optimized crystal structure of SnHOF2. Source: Alexandria via LeMat-Bulk, functional PBE.

Unit cell a=4.208 b=4.208 c=3.829 alpha=90.00 beta=90.00 gamma=90.00
Fractional positions:
1 Sn 0.000 0.000 0.000
2 H 0.500 0.500 0.500
3 O 0.000 0.000 0.500
4 F 0.000 0.500 0.000
5 F 0.500 0.000 0.000

Properties
Energy relative to the lowest polymorph listed for this composition   0.000 eV per formula unit
Energy   -4.359 eV/atom
SG   P4/mmm, No. 123

***

An optimized crystal structure of PrGa4Ag8. Source: Alexandria via LeMat-Bulk, functional PBE.

Unit cell a=7.220 b=7.220 c=7.220 alpha=97.90 beta=97.90 gamma=136.49
Fractional positions:
1 Pr 0.000 0.000 0.000
2 Ga 0.000 0.000 0.500
3 Ga 0.000 0.500 0.000
4 Ga 0.500 0.000 0.000
5 Ga 0.500 0.500 0.500
6 Ag 0.000 0.349 0.349
7 Ag 0.000 0.651 0.651
8 Ag 0.283 0.500 0.783
9 Ag 0.349 0.000 0.349
10 Ag 0.500 0.283 0.783
11 Ag 0.500 0.717 0.217
12 Ag 0.651 0.000 0.651
13 Ag 0.717 0.500 0.217

Properties
Energy   -3.202 eV/atom
SG   I4/mmm, No. 139
ΔH_f (0 K)   -0.15 eV per atom

***

An optimized crystal structure of ZrUNbC3. Source: Alexandria via LeMat-Bulk, functional PBE.

Unit cell a=5.692 b=3.309 c=8.675 alpha=90.00 beta=102.47 gamma=90.00
Fractional positions:
1 Zr 0.229 0.250 0.448
2 Zr 0.771 0.750 0.552
3 U 0.353 0.750 0.807
4 U 0.647 0.250 0.193
5 Nb 0.130 0.750 0.133
6 Nb 0.870 0.250 0.867
7 C 0.055 0.250 0.668
8 C 0.262 0.250 0.007
9 C 0.448 0.750 0.325
10 C 0.552 0.250 0.675
11 C 0.738 0.750 0.993
12 C 0.945 0.750 0.332

Properties
Energy   -10.063 eV/atom
SG   P2_1/m, No. 11
ΔH_f (0 K)   -0.47 eV per atom

***

An optimized crystal structure of Li2Tl2Hg. Source: Alexandria via LeMat-Bulk, functional PBE.

Unit cell a=7.492 b=7.492 c=7.492 alpha=123.59 beta=75.78 gamma=133.83
Fractional positions:
1 Li 0.163 0.227 0.390
2 Li 0.337 0.727 0.064
3 Li 0.663 0.273 0.936
4 Li 0.837 0.773 0.610
5 Tl 0.103 0.640 0.742
6 Tl 0.397 0.140 0.537
7 Tl 0.603 0.860 0.463
8 Tl 0.897 0.360 0.258
9 Hg 0.250 0.250 0.000
10 Hg 0.750 0.750 0.000

Properties
Energy relative to the lowest polymorph listed for this composition   0.256 eV per formula unit
Energy   -1.892 eV/atom
SG   Ibam, No. 72
ΔH_f (0 K)   -0.12 eV per atom

***

An optimized crystal structure of Cs3In2Sb4. Source: Alexandria via LeMat-Bulk, functional PBE.

Unit cell a=4.999 b=8.076 c=10.011 alpha=104.56 beta=90.08 gamma=108.03
Fractional positions:
1 Cs 0.000 0.000 0.000
2 Cs 0.408 0.819 0.321
3 Cs 0.592 0.181 0.679
4 In 0.282 0.564 0.655
5 In 0.718 0.436 0.345
6 Sb 0.128 0.256 0.398
7 Sb 0.286 0.573 0.955
8 Sb 0.714 0.427 0.045
9 Sb 0.872 0.744 0.602

Properties
Energy   -3.079 eV/atom
SG   P-1, No. 2

***

An optimized crystal structure of TbAl3Ag. Source: Alexandria via LeMat-Bulk, functional PBE.

Unit cell a=6.395 b=6.395 c=5.907 alpha=90.00 beta=90.00 gamma=124.45
Fractional positions:
1 Tb 0.247 0.753 0.750
2 Tb 0.753 0.247 0.250
3 Al 0.148 0.852 0.250
4 Al 0.242 0.242 0.000
5 Al 0.242 0.242 0.500
6 Al 0.758 0.758 0.000
7 Al 0.758 0.758 0.500
8 Al 0.852 0.148 0.750
9 Ag 0.367 0.633 0.250
10 Ag 0.633 0.367 0.750

Properties
Energy relative to the lowest polymorph listed for this composition   0.000 eV per formula unit
Energy   -4.108 eV/atom
SG   Cmcm, No. 63
ΔH_f (0 K)   -0.37 eV per atom

***

An optimized crystal structure of Gd2TlPd. Source: Alexandria via LeMat-Bulk, functional PBE.

Unit cell a=5.230 b=5.230 c=5.230 alpha=60.00 beta=60.00 gamma=60.00
Fractional positions:
1 Gd 0.250 0.250 0.250
2 Gd 0.750 0.750 0.750
3 Tl 0.000 0.000 0.000
4 Pd 0.500 0.500 0.500

Properties
Energy relative to the lowest polymorph listed for this composition   0.290 eV per formula unit
Energy   -9.462 eV/atom
SG   Fm-3m, No. 225
ΔH_f (0 K)   -0.53 eV per atom

***

An optimized crystal structure of GeSe3Br2. Source: Alexandria via LeMat-Bulk, functional PBE.

Unit cell a=7.287 b=7.641 c=9.836 alpha=90.37 beta=90.59 gamma=97.22
Fractional positions:
1 Ge 0.000 0.000 0.000
2 Ge 0.240 0.356 0.984
3 Se 0.321 0.076 0.054
4 Se 0.337 0.063 0.519
5 Se 0.425 0.805 0.472
6 Se 0.819 0.552 0.512
7 Se 0.898 0.291 0.462
8 Se 0.920 0.280 0.929
9 Br 0.292 0.569 0.155
10 Br 0.412 0.468 0.798
11 Br 0.828 0.888 0.185
12 Br 0.948 0.787 0.828

Properties
Energy   -3.205 eV/atom
SG   P1, No. 1

***

An optimized crystal structure of MgFeRu. Source: Alexandria via LeMat-Bulk, functional PBE.

Unit cell a=5.770 b=5.770 c=3.970 alpha=90.00 beta=90.00 gamma=139.74
Fractional positions:
1 Mg 0.000 0.000 0.000
2 Mg 0.500 0.500 0.500
3 Fe 0.189 0.811 0.500
4 Fe 0.811 0.189 0.500
5 Ru 0.324 0.676 0.000
6 Ru 0.676 0.324 0.000

Properties
Energy relative to the lowest polymorph listed for this composition   0.316 eV per formula unit
Energy   -6.283 eV/atom
SG   Cmmm, No. 65
ΔH_f (0 K)   0.16 eV per atom

***

An optimized crystal structure of AsSICl2. Source: Alexandria via LeMat-Bulk, functional PBE.

Unit cell a=4.819 b=4.819 c=5.489 alpha=90.00 beta=90.00 gamma=90.00
Fractional positions:
1 As 0.000 0.000 0.000
2 S 0.000 0.000 0.500
3 I 0.500 0.500 0.500
4 Cl 0.000 0.500 0.000
5 Cl 0.500 0.000 0.000

Properties
Energy relative to the lowest polymorph listed for this composition   0.000 eV per formula unit
Energy   -2.684 eV/atom
SG   P4/mmm, No. 123

***

An optimized crystal structure of Na3Mn2SbS6. Source: Alexandria via LeMat-Bulk, functional PBE.

Unit cell a=6.470 b=6.470 c=6.989 alpha=98.95 beta=98.95 gamma=120.06
Fractional positions:
1 Na 0.000 0.000 0.000
2 Na 0.338 0.662 0.000
3 Na 0.662 0.338 0.000
4 Mn 0.167 0.833 0.500
5 Mn 0.833 0.167 0.500
6 Sb 0.500 0.500 0.500
7 S 0.076 0.429 0.291
8 S 0.217 0.217 0.709
9 S 0.429 0.076 0.291
10 S 0.571 0.924 0.709
11 S 0.783 0.783 0.291
12 S 0.924 0.571 0.709

Properties
Energy   -4.993 eV/atom
SG   C2/m, No. 12

***

An optimized crystal structure of CePmPbAu. Source: Alexandria via LeMat-Bulk, functional PBE.

Unit cell a=5.411 b=5.411 c=5.411 alpha=60.00 beta=60.00 gamma=60.00
Fractional positions:
1 Ce 0.000 0.000 0.000
2 Pm 0.500 0.500 0.500
3 Pb 0.250 0.250 0.250
4 Au 0.750 0.750 0.750

Properties
Energy   -4.947 eV/atom
SG   F-43m, No. 216
ΔH_f (0 K)   -0.53 eV per atom